No. 1
Below is Dy2Ga9Ni3 after structural relaxation, with properties calculated at the PBE-GGA level.

Output
The value obtained for the formation energy is -0.499 eV/atom. For the total DFT energy (no corrections), the calculation gives -4.34 eV per atom. As for the space-group type: C2/c, No. 15.

Cell: 7.443 7.443 10.405 Å, 111.09 111.09 59.96°
Sites, in units of the cell vectors:
Dy  0.084  0.251  0.251
Dy  0.251  0.084  0.751
Dy  0.749  0.916  0.249
Dy  0.916  0.749  0.749
Ga  0.022  0.858  0.070
Ga  0.142  0.978  0.430
Ga  0.190  0.357  0.571
Ga  0.205  0.583  0.251
Ga  0.311  0.481  0.940
Ga  0.357  0.190  0.071
Ga  0.370  0.630  0.750
Ga  0.417  0.795  0.249
Ga  0.481  0.311  0.440
Ga  0.519  0.689  0.560
Ga  0.583  0.205  0.751
Ga  0.630  0.370  0.250
Ga  0.643  0.810  0.929
Ga  0.689  0.519  0.060
Ga  0.795  0.417  0.749
Ga  0.810  0.643  0.429
Ga  0.858  0.022  0.570
Ga  0.978  0.142  0.930
Ni  0.000  0.500  0.000
Ni  0.162  0.669  0.499
Ni  0.331  0.838  0.001
Ni  0.500  0.000  0.500
Ni  0.669  0.162  0.999
Ni  0.838  0.331  0.501

No. 2
Below is Be2SnSBr after structural relaxation, with properties calculated at the PBE-GGA level.

Output
The formation energy (no corrections) is 1053 meV/atom. For the total DFT energy (no corrections), the calculation gives -2.40 eV per atom. As for the space-group type: P4/mmm, No. 123.

Cell: 4.474 4.474 5.484 Å, 90.00 90.00 90.00°
Sites, in units of the cell vectors:
Be  0.000  0.500  0.000
Be  0.500  0.000  0.000
Sn  0.000  0.000  0.500
S  0.500  0.500  0.500
Br  0.500  0.500  0.000

No. 3
Below is ZnInPS2 after structural relaxation, with properties calculated at the PBE-GGA level.

Output
The formation energy (no corrections) is 483 meV/atom. For the total DFT energy (no corrections), the calculation gives -3.05 eV per atom. As for the space-group type: P4/mmm, No. 123.

Cell: 4.689 4.689 4.824 Å, 90.00 90.00 90.00°
Sites, in units of the cell vectors:
Zn  0.000  0.000  0.000
In  0.500  0.500  0.500
P  0.000  0.000  0.500
S  0.000  0.500  0.000
S  0.500  0.000  0.000

No. 4
Below is SrHf2TaNb after structural relaxation, with properties calculated at the PBE-GGA level.

Output
The value obtained for the formation energy is 2.402 eV/atom. For the total DFT energy (no corrections), the calculation gives -6.30 eV per atom. As for the space-group type: P4/mmm, No. 123.

Cell: 4.997 4.997 4.787 Å, 90.00 90.00 90.00°
Sites, in units of the cell vectors:
Sr  0.000  0.000  0.000
Hf  0.000  0.500  0.000
Hf  0.500  0.000  0.000
Ta  0.500  0.500  0.500
Nb  0.000  0.000  0.500

No. 5
Below is Li3YGe after structural relaxation, with properties calculated at the PBE-GGA level.

Output
The value obtained for the formation energy is 0.015 eV/atom. For the total DFT energy (no corrections), the calculation gives -3.35 eV per atom. As for the space-group type: Pm-3m, No. 221.

Cell: 4.682 4.682 4.682 Å, 90.00 90.00 90.00°
Sites, in units of the cell vectors:
Li  0.000  0.000  0.500
Li  0.000  0.500  0.000
Li  0.500  0.000  0.000
Y  0.500  0.500  0.500
Ge  0.000  0.000  0.000

No. 6
Below is Sm2DyIr2 after structural relaxation, with properties calculated at the PBE-GGA level.

Output
The value obtained for the formation energy is -0.658 eV/atom. For the total DFT energy (no corrections), the calculation gives -7.01 eV per atom. As for the space-group type: C2/c, No. 15.

Cell: 6.087 6.087 8.206 Å, 104.67 104.67 56.43°
Sites, in units of the cell vectors:
Sm  0.001  0.701  0.849
Sm  0.299  0.999  0.651
Sm  0.701  0.001  0.349
Sm  0.999  0.299  0.151
Dy  0.359  0.641  0.250
Dy  0.641  0.359  0.750
Ir  0.209  0.509  0.496
Ir  0.491  0.791  0.004
Ir  0.509  0.209  0.996
Ir  0.791  0.491  0.504

No. 7
Below is ZnSbS2Cl after structural relaxation, with properties calculated at the PBE-GGA level.

Output
The formation energy (no corrections) is 49 meV/atom. For the total DFT energy (no corrections), the calculation gives -3.05 eV per atom. As for the space-group type: P4/mmm, No. 123.

Cell: 4.791 4.791 4.604 Å, 90.00 90.00 90.00°
Sites, in units of the cell vectors:
Zn  0.000  0.000  0.000
Sb  0.500  0.500  0.500
S  0.000  0.500  0.000
S  0.500  0.000  0.000
Cl  0.000  0.000  0.500

No. 8
Below is Mg2Al2GePd5 after structural relaxation, with properties calculated at the PBE-GGA level.

Output
The value obtained for the formation energy is -0.625 eV/atom. For the total DFT energy (no corrections), the calculation gives -4.75 eV per atom. As for the space-group type: P4/mbm, No. 127.

Cell: 10.110 10.110 3.223 Å, 90.00 90.00 90.00°
Sites, in units of the cell vectors:
Mg  0.163  0.337  0.000
Mg  0.337  0.837  0.000
Mg  0.663  0.163  0.000
Mg  0.837  0.663  0.000
Al  0.135  0.635  0.000
Al  0.365  0.135  0.000
Al  0.635  0.865  0.000
Al  0.865  0.365  0.000
Ge  0.000  0.000  0.000
Ge  0.500  0.500  0.000
Pd  0.000  0.500  0.500
Pd  0.106  0.822  0.500
Pd  0.178  0.106  0.500
Pd  0.322  0.606  0.500
Pd  0.394  0.322  0.500
Pd  0.500  0.000  0.500
Pd  0.606  0.678  0.500
Pd  0.678  0.394  0.500
Pd  0.822  0.894  0.500
Pd  0.894  0.178  0.500

No. 9
Below is Rb2ZnHCl6 after structural relaxation, with properties calculated at the PBE-GGA level.

Output
For the total DFT energy (no corrections), the calculation gives -2.89 eV per atom. As for the space-group type: I4/mmm, No. 139.

Cell: 7.075 7.075 7.075 Å, 114.40 114.40 100.01°
Sites, in units of the cell vectors:
Rb  0.250  0.750  0.500
Rb  0.750  0.250  0.500
Zn  0.000  0.000  0.000
H  0.500  0.500  0.000
Cl  0.213  0.213  0.427
Cl  0.213  0.787  0.000
Cl  0.328  0.328  0.000
Cl  0.672  0.672  0.000
Cl  0.787  0.213  0.000
Cl  0.787  0.787  0.573

No. 10
Below is BeAlRh after structural relaxation, with properties calculated at the PBE-GGA level.

Output
The value obtained for the formation energy is -0.407 eV/atom. For the total DFT energy (no corrections), the calculation gives -5.35 eV per atom. As for the space-group type: F-43m, No. 216.

Cell: 3.826 3.826 3.826 Å, 60.00 60.00 60.00°
Sites, in units of the cell vectors:
Be  0.000  0.000  0.000
Al  0.250  0.250  0.250
Rh  0.750  0.750  0.750

No. 11
Below is CrPb after structural relaxation, with properties calculated at the PBE-GGA level.

Output
The value obtained for the formation energy is 0.864 eV/atom. For the total DFT energy (no corrections), the calculation gives -5.80 eV per atom. As for the space-group type: P-3m1, No. 164.

Cell: 3.326 3.326 10.156 Å, 90.00 90.00 120.00°
Sites, in units of the cell vectors:
Cr  0.333  0.667  0.110
Cr  0.667  0.333  0.890
Pb  0.333  0.667  0.658
Pb  0.667  0.333  0.342

No. 12
Below is La2Pm2SmCd5 after structural relaxation, with properties calculated at the PBE-GGA level.

Output
The value obtained for the formation energy is -0.207 eV/atom. For the total DFT energy (no corrections), the calculation gives -3.07 eV per atom. As for the space-group type: P4/mbm, No. 127.

Cell: 10.810 10.810 4.916 Å, 90.00 90.00 90.00°
Sites, in units of the cell vectors:
La  0.176  0.324  0.000
La  0.324  0.824  0.000
La  0.676  0.176  0.000
La  0.824  0.676  0.000
Pm  0.125  0.625  0.000
Pm  0.375  0.125  0.000
Pm  0.625  0.875  0.000
Pm  0.875  0.375  0.000
Sm  0.000  0.000  0.000
Sm  0.500  0.500  0.000
Cd  0.000  0.500  0.500
Cd  0.069  0.808  0.500
Cd  0.192  0.069  0.500
Cd  0.308  0.569  0.500
Cd  0.431  0.308  0.500
Cd  0.500  0.000  0.500
Cd  0.569  0.692  0.500
Cd  0.692  0.431  0.500
Cd  0.808  0.931  0.500
Cd  0.931  0.192  0.500

No. 13
Below is MgAg6Au2 after structural relaxation, with properties calculated at the PBE-GGA level.

Output
The value obtained for the formation energy is -0.087 eV/atom. For the total DFT energy (no corrections), the calculation gives -2.89 eV per atom. As for the space-group type: C2/c, No. 15.

Cell: 7.270 7.270 7.626 Å, 115.22 115.22 86.08°
Sites, in units of the cell vectors:
Mg  0.152  0.848  0.750
Mg  0.848  0.152  0.250
Ag  0.000  0.210  0.689
Ag  0.000  0.790  0.311
Ag  0.089  0.366  0.135
Ag  0.210  0.000  0.189
Ag  0.324  0.577  0.027
Ag  0.366  0.089  0.635
Ag  0.423  0.676  0.473
Ag  0.577  0.324  0.527
Ag  0.634  0.911  0.365
Ag  0.676  0.423  0.973
Ag  0.790  0.000  0.811
Ag  0.911  0.634  0.865
Au  0.203  0.438  0.572
Au  0.438  0.203  0.072
Au  0.562  0.797  0.928
Au  0.797  0.562  0.428

No. 14
Below is PHPd after structural relaxation, with properties calculated at the PBE-GGA level.

Output
For the total DFT energy (no corrections), the calculation gives -4.70 eV per atom. As for the space-group type: Cm, No. 8.

Cell: 4.079 4.079 5.314 Å, 96.93 96.93 86.61°
Sites, in units of the cell vectors:
P  0.000  0.000  0.000
P  0.176  0.176  0.388
H  0.390  0.390  0.303
H  0.690  0.690  0.555
Pd  0.467  0.965  0.753
Pd  0.965  0.467  0.753

No. 15
Below is CoIrOs2 after structural relaxation, with properties calculated at the PBE-GGA level.

Output
The value obtained for the formation energy is 0.130 eV/atom. For the total DFT energy (no corrections), the calculation gives -9.48 eV per atom. As for the space-group type: I4/mmm, No. 139.

Cell: 4.669 4.669 4.669 Å, 132.66 132.66 69.19°
Sites, in units of the cell vectors:
Co  0.000  0.000  0.000
Ir  0.500  0.500  0.000
Os  0.250  0.750  0.500
Os  0.750  0.250  0.500

No. 16
Below is In2RuBr after structural relaxation, with properties calculated at the PBE-GGA level.

Output
The formation energy (no corrections) is 277 meV/atom. For the total DFT energy (no corrections), the calculation gives -3.83 eV per atom. As for the space-group type: Immm, No. 71.

Cell: 7.118 7.118 7.118 Å, 154.90 142.68 45.51°
Sites, in units of the cell vectors:
In  0.180  0.180  0.000
In  0.820  0.820  0.000
Ru  0.000  0.500  0.500
Br  0.500  0.000  0.500

No. 17
Below is Li2Ac2Zn15 after structural relaxation, with properties calculated at the PBE-GGA level.

Output
The value obtained for the formation energy is -0.247 eV/atom. For the total DFT energy (no corrections), the calculation gives -1.89 eV per atom. As for the space-group type: R-3m, No. 166.

Cell: 6.997 6.997 6.997 Å, 83.57 83.57 83.57°
Sites, in units of the cell vectors:
Li  0.097  0.097  0.097
Li  0.903  0.903  0.903
Ac  0.341  0.341  0.341
Ac  0.659  0.659  0.659
Zn  0.000  0.000  0.500
Zn  0.000  0.286  0.714
Zn  0.000  0.500  0.000
Zn  0.000  0.714  0.286
Zn  0.157  0.654  0.654
Zn  0.286  0.000  0.714
Zn  0.286  0.714  0.000
Zn  0.346  0.346  0.843
Zn  0.346  0.843  0.346
Zn  0.500  0.000  0.000
Zn  0.654  0.157  0.654
Zn  0.654  0.654  0.157
Zn  0.714  0.000  0.286
Zn  0.714  0.286  0.000
Zn  0.843  0.346  0.346

No. 18
Below is ZnCu2TcPb after structural relaxation, with properties calculated at the PBE-GGA level.

Output
The value obtained for the formation energy is 1.537 eV/atom. For the total DFT energy (no corrections), the calculation gives -3.17 eV per atom. As for the space-group type: P4/mmm, No. 123.

Cell: 4.861 4.861 5.140 Å, 90.00 90.00 90.00°
Sites, in units of the cell vectors:
Zn  0.000  0.000  0.000
Cu  0.000  0.500  0.500
Cu  0.500  0.000  0.500
Tc  0.500  0.500  0.000
Pb  0.000  0.000  0.500

No. 19
Below is Hf6GaSe after structural relaxation, with properties calculated at the PBE-GGA level.

Output
The formation energy (no corrections) is -292 meV/atom. For the total DFT energy (no corrections), the calculation gives -8.57 eV per atom. As for the space-group type: I4/mmm, No. 139.

Cell: 7.562 7.562 7.562 Å, 141.95 141.95 54.91°
Sites, in units of the cell vectors:
Hf  0.112  0.612  0.500
Hf  0.245  0.245  0.000
Hf  0.388  0.888  0.500
Hf  0.612  0.112  0.500
Hf  0.755  0.755  0.000
Hf  0.888  0.388  0.500
Ga  0.000  0.000  0.000
Se  0.500  0.500  0.000

No. 20
Below is TlMoP after structural relaxation, with properties calculated at the PBE-GGA level.

Output
The value obtained for the formation energy is 0.093 eV/atom. For the total DFT energy (no corrections), the calculation gives -6.11 eV per atom. As for the space-group type: I4mm, No. 107.

Cell: 5.728 5.728 5.728 Å, 147.04 147.04 47.30°
Sites, in units of the cell vectors:
Tl  0.000  0.000  0.000
Mo  0.293  0.293  0.000
P  0.709  0.709  0.000